First-principles (GGA-PBE) data for a relaxed structure of SmAuSeO, as listed in OQMD.

**Volume**: 382 Å³/cell
**Density**: 7.69 g/cm3
**Crystal system**: monoclinic
**Polymorph energy (0 for the lowest one)**: 20 meV/atom

a = 5.8167 Å, b = 5.8110 Å, c = 11.3052 Å
α = 90.00°, β = 92.31°, γ = 90.00°
With the nearest neighbours (Å) after each atom.
Space group P2_1 (No. 4)
Unique sites:
Sm (0.0069, 0.0000, 0.0965)  4 O 2.32-2.34
Sm (0.4929, 0.0006, 0.9029)  4 O 2.32-2.34
Au (0.0031, 0.0239, 0.7253)  2 Se 2.46-2.47
Au (0.3142, 0.2772, 0.5036)  2 Se 2.43
Se (0.2975, 0.2272, 0.2904)  2 Au 2.43-2.46
Se (0.3042, 0.3229, 0.7167)  2 Au 2.43-2.47
O (0.2493, 0.2495, 0.0015)  4 Sm 2.32-2.34
O (0.2514, 0.7496, 0.9998)  4 Sm 2.32-2.34